Co3Pt2 after structural relaxation, computed with GGA-PBEsol.

Cell lengths 6.6793, 4.9129, 7.6280 Å; angles 59.79, 39.47, 80.74 degrees
With the nearest neighbours (Å) after each atom.
Sites, in units of the cell vectors:
Co  0.0000  0.0000  0.0000  2 Co 2.39, 6 Pt 2.50-2.66
Co  0.2500  0.2500  0.2500  2 Co 2.39, 6 Pt 2.50-2.66
Co  0.3748  0.4963  0.4250  4 Co 2.39-2.60, 5 Pt 2.52-2.66
Co  0.4963  0.3748  0.7038  4 Co 2.39-2.60, 5 Pt 2.52-2.66
Co  0.5462  0.8250  0.7537  4 Co 2.39-2.60, 5 Pt 2.52-2.66
Co  0.8250  0.5462  0.8752  4 Co 2.39-2.60, 5 Pt 2.52-2.66
Pt  0.0873  0.7568  0.3097  9 Co 2.50-2.68, 2 Pt 2.70
Pt  0.4039  0.9403  0.4932  9 Co 2.50-2.68, 2 Pt 2.70
Pt  0.7568  0.0873  0.8461  9 Co 2.50-2.68, 2 Pt 2.70
Pt  0.9403  0.4039  0.1627  9 Co 2.50-2.68, 2 Pt 2.70

## Properties
Energy of formation ... 0.016 eV/atom
Distance to the lowest polymorph of the same formula ... 0.00 eV per formula unit
SG ... No. 43
Crystal system ... orthorhombic
E_tot ... -74.1 eV per cell
Total magnetization ... 12.176 μB per cell



NbHSeBr2 after structural relaxation, computed with GGA-PBEsol.

Cell lengths 5.1641, 5.1641, 4.9226 Å; angles 90.00, 90.00, 90.00 degrees
With the nearest neighbours (Å) after each atom.
Sites, in units of the cell vectors:
Nb  0.0000  0.0000  0.0000  2 Se 2.46, 4 Br 2.58
H  0.5000  0.5000  0.5000  8 Br 3.57, 4 Se 3.65
Se  0.0000  0.0000  0.5000  2 Nb 2.46
Br  0.0000  0.5000  0.0000  2 Nb 2.58
Br  0.5000  0.0000  0.0000  2 Nb 2.58

## Properties
SG ... No. 123
Crystal system ... tetragonal
E_tot ... -21.4 eV per cell
Total magnetization ... 1.001 μB per cell



ReTc after structural relaxation, computed with GGA-PBEsol.

Cell lengths 2.7361, 2.7361, 8.8162 Å; angles 90.00, 90.00, 120.00 degrees
With the nearest neighbours (Å) after each atom.
Sites, in units of the cell vectors:
Re  0.3333  0.6667  0.3724  3 Tc 2.70, 9 Re 2.74-2.75
Re  0.6667  0.3333  0.6276  3 Tc 2.70, 9 Re 2.74-2.75
Tc  0.3333  0.6667  0.8765  9 Tc 2.69-2.74, 3 Re 2.70
Tc  0.6667  0.3333  0.1235  9 Tc 2.69-2.74, 3 Re 2.70

## Properties
Energy of formation ... -0.001 eV/atom
Distance to the lowest polymorph of the same formula ... 0.01 eV per formula unit
SG ... No. 164
Crystal system ... trigonal
E_tot ... -49.2 eV per cell
Total magnetization ... 0.001 μB per cell



CrInW2 after structural relaxation, computed with GGA-PBEsol.

Cell lengths 2.7662, 2.7662, 8.7962 Å; angles 90.00, 90.00, 110.45 degrees
With the nearest neighbours (Å) after each atom.
Sites, in units of the cell vectors:
Cr  0.0000  0.0000  0.0000  2 W 2.51, 2 In 2.73, 4 Cr 2.77
In  0.5000  0.5000  0.2529  2 Cr 2.73, 4 In 2.77, 2 W 2.90
W  0.0000  0.0000  0.5296  6 W 2.70-2.77, 2 In 2.90
W  0.5000  0.5000  0.7781  2 Cr 2.51, 6 W 2.70-2.77

## Properties
Energy of formation ... 0.377 eV/atom
SG ... No. 35
Crystal system ... orthorhombic
E_tot ... -39.3 eV per cell
Total magnetization ... 0.000 μB per cell



CsNaSiO3 after structural relaxation, computed with GGA-PBEsol.

Cell lengths 8.4520, 8.4520, 8.4520 Å; angles 90.78, 90.78, 90.78 degrees
With the nearest neighbours (Å) after each atom.
Sites, in units of the cell vectors:
Cs  0.0000  0.0000  0.0000  3 O 3.05
Cs  0.1483  0.6576  0.6576  6 O 3.00-3.28, 4 Na 3.28-3.30
Cs  0.3130  0.3130  0.3130  3 O 3.03
Cs  0.6451  0.6451  0.6451  6 O 3.28-3.31
Cs  0.6576  0.1483  0.6576  6 O 3.00-3.28, 4 Na 3.28-3.30
Cs  0.6576  0.6576  0.1483  6 O 3.00-3.28, 4 Na 3.28-3.30
Na  0.0238  0.2881  0.6554  4 O 2.37-2.38
Na  0.0238  0.6554  0.2881  4 O 2.37-2.38
Na  0.2881  0.0238  0.6554  4 O 2.37-2.38
Na  0.2881  0.6554  0.0238  4 O 2.37-2.38
Na  0.6554  0.0238  0.2881  4 O 2.37-2.38
Na  0.6554  0.2881  0.0238  4 O 2.37-2.38
Si  0.3297  0.3297  0.8599  4 O 1.61-1.67
Si  0.3297  0.8599  0.3297  4 O 1.61-1.67
Si  0.4505  0.9810  0.9810  4 O 1.61-1.67
Si  0.8599  0.3297  0.3297  4 O 1.61-1.67
Si  0.9810  0.4505  0.9810  4 O 1.61-1.67
Si  0.9810  0.9810  0.4505  4 O 1.61-1.67
O  0.0078  0.0078  0.6391  1 Si 1.62
O  0.0078  0.6391  0.0078  1 Si 1.62
O  0.1548  0.3710  0.9381  2 Si 1.67
O  0.1548  0.9381  0.3710  2 Si 1.67
O  0.3051  0.3051  0.6710  1 Si 1.62
O  0.3051  0.6710  0.3051  1 Si 1.62
O  0.3710  0.1548  0.9381  2 Si 1.67
O  0.3710  0.9381  0.1548  2 Si 1.67
O  0.3882  0.8521  0.8521  1 Si 1.61
O  0.4580  0.4580  0.9251  1 Si 1.61
O  0.4580  0.9251  0.4580  1 Si 1.61
O  0.6391  0.0078  0.0078  1 Si 1.62
O  0.6710  0.3051  0.3051  1 Si 1.62
O  0.8521  0.3882  0.8521  1 Si 1.61
O  0.8521  0.8521  0.3882  1 Si 1.61
O  0.9251  0.4580  0.4580  1 Si 1.61
O  0.9381  0.1548  0.3710  2 Si 1.67
O  0.9381  0.3710  0.1548  2 Si 1.67

## Properties
SG ... No. 160
Crystal system ... trigonal
E_tot ... -226.6 eV per cell
Total magnetization ... 0.000 μB per cell



Cs2PtI after structural relaxation, computed with GGA-PBEsol.

Cell lengths 9.6852, 9.6852, 9.6852 Å; angles 136.10, 136.10, 63.82 degrees
With the nearest neighbours (Å) after each atom.
Sites, in units of the cell vectors:
Cs  0.0268  0.6250  0.9018  2 Pt 2.95
Cs  0.3750  0.2768  0.4018  2 Pt 2.95
Cs  0.7232  0.1250  0.0982  2 Pt 2.95
Cs  0.8750  0.9732  0.5982  2 Pt 2.95
Pt  0.0000  0.0000  0.0000  4 Cs 2.95
Pt  0.7500  0.2500  0.5000  4 Cs 2.95
I  0.2500  0.7500  0.5000  4 Cs 3.72
I  0.5000  0.5000  0.0000  4 Cs 3.72

## Properties
SG ... No. 122
Crystal system ... tetragonal
E_tot ... -21.7 eV per cell
Total magnetization ... 0.000 μB per cell